1.
First-principles (PBE) data for a geometry-optimized KRhBr2 structure, as listed in the Alexandria database.

The structure in extended XYZ format:
```
4
Lattice="-1.928 1.956 7.253 1.928 -1.956 7.253 1.928 1.956 -7.253" Properties=species:S:1:pos:R:3 pbc="T T T"
K 0.000 0.000 0.000
Rh 1.928 0.000 3.653
Br 0.000 0.000 5.574
Br 0.000 1.956 2.584
```

Calculated values
**ΔE_f (raw)**: -35 kJ per mole of atoms
**Energy relative to the lowest polymorph listed for this composition**: 254 meV per atom

***

2.
First-principles (PBE) data for a geometry-optimized Tb4SmDy2Tm structure, as listed in the Alexandria database.

The structure in extended XYZ format:
```
8
Lattice="5.021 0.000 0.000 0.000 5.021 0.000 0.000 0.000 10.061" Properties=species:S:1:pos:R:3 pbc="T T T"
Tb 0.000 2.510 2.493
Tb 0.000 2.510 7.568
Tb 2.510 0.000 2.493
Tb 2.510 0.000 7.568
Sm 0.000 0.000 5.031
Dy 0.000 0.000 0.000
Dy 2.510 2.510 5.031
Tm 2.510 2.510 0.000
```

Calculated values
**E_form**: 0.017 eV/atom

***

3.
First-principles (PBE) data for a geometry-optimized MgCo2Ru structure, as listed in the Alexandria database.

The structure in extended XYZ format:
```
4
Lattice="4.202 0.000 0.000 0.000 4.202 0.000 0.000 0.000 2.962" Properties=species:S:1:pos:R:3 pbc="T T T"
Mg 0.000 0.000 0.000
Co 0.000 2.101 1.481
Co 2.101 0.000 1.481
Ru 2.101 2.101 0.000
```

Calculated values
**E_form**: 0.151 eV/atom

***

no.,V (Å³/atom)
1,27.35
2,31.70
3,13.08